Material: Na2MgSc2
Method: DFT, GGA-PBE
State: relaxed

Output
distance to the lowest polymorph of the same formula: 0 meV/atom
energy relative to the elements: 41.0 kJ/mol of atoms

abc: 3.9364 3.9364 17.8384
angles: 90.00 90.00 90.00
Space group I4/mmm (No. 139)
Unique sites:
Na 0.0000 0.5000 0.2500 (multiplicity 4)
Mg 0.0000 0.0000 0.0000 (multiplicity 2)
Sc 0.0000 0.0000 0.4160 (multiplicity 4)

=====

Material: InSbTe2P
Method: DFT, GGA-PBE
State: relaxed

Output
ΔE_f (raw): 1.07 eV per atom
distance to the lowest polymorph of the same formula: 735 meV/atom

abc: 5.6089 5.6089 5.7124
angles: 90.00 90.00 90.00
Space group P4/mmm (No. 123)
Unique sites:
In 0.0000 0.0000 0.0000 (multiplicity 1)
Sb 0.0000 0.0000 0.5000 (multiplicity 1)
Te 0.0000 0.5000 0.0000 (multiplicity 2)
P 0.5000 0.5000 0.5000 (multiplicity 1)

=====

Material: CeTh3S8
Method: DFT, GGA-PBE
State: relaxed

Output
ΔE_f (raw): -1.96 eV per atom

abc: 6.6459 6.6459 13.3131
angles: 90.00 90.00 90.00
Space group I4/mmm (No. 139)
Unique sites:
Ce 0.0000 0.0000 0.0000 (multiplicity 2)
Th 0.0000 0.0000 0.5000 (multiplicity 2)
Th 0.0000 0.5000 0.2500 (multiplicity 4)
S 0.2487 0.2487 0.1244 (multiplicity 16)

=====

Material: Sm5Ni2Rh
Method: DFT, GGA-PBE
State: relaxed

Output
energy relative to the elements: -35.1 kJ/mol of atoms

abc: 7.2274 7.2274 14.8030
angles: 90.00 90.00 90.00
Space group I4/mcm (No. 140)
Unique sites:
Sm 0.0000 0.0000 0.0000 (multiplicity 4)
Sm 0.1724 0.3276 0.1444 (multiplicity 16)
Ni 0.1202 0.3798 0.5000 (multiplicity 8)
Rh 0.0000 0.0000 0.2500 (multiplicity 4)

=====

Material: Ca2In5Bi5
Method: DFT, GGA-PBE
State: relaxed

Output
energy relative to the elements: -18.0 kJ/mol of atoms

abc: 15.8060 4.9979 10.8706
angles: 90.00 120.93 90.00
Space group C2/m (No. 12)
Unique sites:
Ca 0.1512 0.0000 0.0094 (multiplicity 4)
In 0.0000 0.0000 0.5000 (multiplicity 2)
In 0.0769 0.0000 0.2742 (multiplicity 4)
In 0.2434 0.0000 0.7611 (multiplicity 4)
Bi 0.0000 0.5000 0.0000 (multiplicity 2)
Bi 0.0939 0.5000 0.7652 (multiplicity 4)
Bi 0.1888 0.5000 0.5528 (multiplicity 4)

=====

Material: Er2PHPt6
Method: DFT, GGA-PBE
State: relaxed

Output
E: -125.47 eV for the cell shown

abc: 5.6832 8.3812 6.8844
angles: 90.00 90.00 90.00
Space group Pmmn (No. 59, origin choice 2)
Unique sites:
Er 0.2500 0.0294 0.2251 (multiplicity 4)
P 0.2500 0.7500 0.8195 (multiplicity 2)
H 0.2500 0.2500 0.6561 (multiplicity 2)
Pt 0.0088 0.7500 0.4934 (multiplicity 4)
Pt 0.0096 0.2500 0.9247 (multiplicity 4)
Pt 0.2500 0.0008 0.6796 (multiplicity 4)

=====

Material: Y2FeBPt6
Method: DFT, GGA-PBE
State: relaxed

Output
energy relative to the elements: -74.2 kJ/mol of atoms

abc: 9.7376 5.6204 7.3018
angles: 90.00 116.51 90.00
Space group C2/m (No. 12)
Unique sites:
Y 0.2079 0.0000 0.1241 (multiplicity 4)
Fe 0.0000 0.5000 0.0000 (multiplicity 2)
B 0.0000 0.0000 0.5000 (multiplicity 2)
Pt 0.0180 0.2548 0.2990 (multiplicity 8)
Pt 0.2370 0.0000 0.7010 (multiplicity 4)

=====

Material: AcPm2In2Hg2
Method: DFT, GGA-PBE
State: relaxed

Output
energy relative to the elements: -32.9 kJ/mol of atoms

abc: 5.0275 5.0275 28.6632
angles: 90.00 90.00 120.00
Space group R-3m (No. 166, hexagonal axes)
Unique sites:
Ac 0.0000 0.0000 0.0000 (multiplicity 3)
Pm 0.0000 0.0000 0.1335 (multiplicity 6)
In 0.0000 0.0000 0.2620 (multiplicity 6)
Hg 0.0000 0.0000 0.4287 (multiplicity 6)

=====

Material: Sm2Pd5Au12
Method: DFT, GGA-PBE
State: relaxed

Output
energy relative to the elements: -32.7 kJ/mol of atoms

abc: 9.5191 9.5191 14.0330
angles: 90.00 90.00 120.00
Space group R-3m (No. 166, hexagonal axes)
Unique sites:
Sm 0.0000 0.0000 0.1927 (multiplicity 6)
Pd 0.0000 0.0000 0.3981 (multiplicity 6)
Pd 0.0000 0.5000 0.0000 (multiplicity 9)
Au 0.0000 0.3042 0.5000 (multiplicity 18)
Au 0.0015 0.5008 0.6521 (multiplicity 18)

=====

Material: TlTc3
Method: DFT, GGA-PBE
State: relaxed

Output
distance to the lowest polymorph of the same formula: 183 meV/atom
energy relative to the elements: 57.7 kJ/mol of atoms

abc: 3.2623 4.4017 9.0664
angles: 90.00 90.00 90.00
Space group Immm (No. 71)
Unique sites:
Tl 0.0000 0.0000 0.0000 (multiplicity 2)
Tc 0.0000 0.0000 0.5000 (multiplicity 2)
Tc 0.0000 0.5000 0.2441 (multiplicity 4)

=====

Material: Tb3PuSb4
Method: DFT, GGA-PBE
State: relaxed

Output
ΔE_f (raw): -1.00 eV per atom
distance to the lowest polymorph of the same formula: 2 meV/atom

abc: 6.2330 6.2330 6.2330
angles: 90.00 90.00 90.00
Space group Pm-3m (No. 221)
Unique sites:
Tb 0.0000 0.0000 0.5000 (multiplicity 3)
Pu 0.5000 0.5000 0.5000 (multiplicity 1)
Sb 0.0000 0.0000 0.0000 (multiplicity 1)
Sb 0.0000 0.5000 0.5000 (multiplicity 3)

=====

Material: SrAg2Hg
Method: DFT, GGA-PBE
State: relaxed

Output
energy relative to the elements: -0.2 kJ/mol of atoms

abc: 6.2228 10.0519 3.7715
angles: 90.00 117.47 90.00
Space group C2/m (No. 12)
Unique sites:
Sr 0.0000 0.0000 0.0000 (multiplicity 2)
Ag 0.2500 0.2500 0.5000 (multiplicity 4)
Hg 0.0000 0.5000 0.0000 (multiplicity 2)

=====

Material: Mg2TaMo
Method: DFT, GGA-PBE
State: relaxed

Output
distance to the lowest polymorph of the same formula: 582 meV/atom
energy relative to the elements: 70.6 kJ/mol of atoms

abc: 6.5706 6.5706 6.5706
angles: 90.00 90.00 90.00
Space group Fm-3m (No. 225)
Unique sites:
Mg 0.2500 0.2500 0.2500 (multiplicity 8)
Ta 0.0000 0.0000 0.0000 (multiplicity 4)
Mo 0.0000 0.0000 0.5000 (multiplicity 4)

=====

Material: La2As4Pt3Au
Method: DFT, GGA-PBE
State: relaxed

Output
energy relative to the elements: -85.0 kJ/mol of atoms

abc: 4.5694 4.5694 9.8690
angles: 90.00 90.00 90.00
Space group P-4m2 (No. 115)
Unique sites:
La 0.0000 0.5000 0.2479 (multiplicity 2)
As 0.0000 0.0000 0.0000 (multiplicity 1)
As 0.0000 0.5000 0.6340 (multiplicity 2)
As 0.5000 0.5000 0.0000 (multiplicity 1)
Pt 0.0000 0.5000 0.8863 (multiplicity 2)
Pt 0.5000 0.5000 0.5000 (multiplicity 1)
Au 0.0000 0.0000 0.5000 (multiplicity 1)

=====

Material: Rb2HBr6O
Method: DFT, GGA-PBE
State: relaxed

Output
E: -46.40 eV for the cell shown

abc: 6.8711 6.8711 11.6693
angles: 90.00 90.00 90.00
Space group I4/mmm (No. 139)
Unique sites:
Rb 0.0000 0.5000 0.2500 (multiplicity 4)
H 0.0000 0.0000 0.0000 (multiplicity 2)
Br 0.0000 0.0000 0.3039 (multiplicity 4)
Br 0.2269 0.2269 0.0000 (multiplicity 8)
O 0.0000 0.0000 0.5000 (multiplicity 2)

=====

Material: CsNaScC2
Method: DFT, GGA-PBE
State: relaxed

Output
energy relative to the elements: 283.4 kJ/mol of atoms

abc: 4.9999 4.9999 5.3385
angles: 90.00 90.00 90.00
Space group P4/mmm (No. 123)
Unique sites:
Cs 0.0000 0.0000 0.0000 (multiplicity 1)
Na 0.5000 0.5000 0.5000 (multiplicity 1)
Sc 0.0000 0.0000 0.5000 (multiplicity 1)
C 0.0000 0.5000 0.0000 (multiplicity 2)

=====

Material: La3AlCo
Method: DFT, GGA-PBE
State: relaxed

Output
distance to the lowest polymorph of the same formula: 0 meV/atom
energy relative to the elements: -19.4 kJ/mol of atoms

abc: 5.3849 6.3548 9.5258
angles: 95.09 106.37 115.02
Space group P-1 (No. 2)
Unique sites:
La 0.0075 0.1568 0.3579 (multiplicity 2)
La 0.1997 0.8266 0.0725 (multiplicity 2)
La 0.3628 0.4853 0.7420 (multiplicity 2)
Al 0.3516 0.7677 0.4350 (multiplicity 2)
Co 0.3451 0.2495 0.9420 (multiplicity 2)

=====

Material: Sc2Al2ZnIr5
Method: DFT, GGA-PBE
State: relaxed

Output
energy relative to the elements: -63.8 kJ/mol of atoms

abc: 9.6064 9.6064 3.4263
angles: 90.00 90.00 90.00
Space group P4/mbm (No. 127)
Unique sites:
Sc 0.1725 0.3275 0.0000 (multiplicity 4)
Al 0.1280 0.6280 0.0000 (multiplicity 4)
Zn 0.0000 0.0000 0.0000 (multiplicity 2)
Ir 0.0000 0.5000 0.5000 (multiplicity 2)
Ir 0.0649 0.7981 0.5000 (multiplicity 8)

=====

Material: CdMoIrW2
Method: DFT, GGA-PBE
State: relaxed

Output
energy relative to the elements: 164.9 kJ/mol of atoms

abc: 4.7819 4.7819 4.7777
angles: 90.00 90.00 90.00
Space group P4/mmm (No. 123)
Unique sites:
Cd 0.0000 0.0000 0.0000 (multiplicity 1)
Mo 0.5000 0.5000 0.0000 (multiplicity 1)
Ir 0.5000 0.5000 0.5000 (multiplicity 1)
W 0.0000 0.5000 0.5000 (multiplicity 2)

=====

Material: Sr3LiTl3
Method: DFT, GGA-PBE
State: relaxed

Output
energy relative to the elements: -32.6 kJ/mol of atoms

abc: 12.6355 4.5929 17.2858
angles: 90.00 109.03 90.00
Space group C2/m (No. 12)
Unique sites:
Sr 0.0266 0.0000 0.3864 (multiplicity 4)
Sr 0.1062 0.0000 0.9208 (multiplicity 4)
Sr 0.2438 0.0000 0.2322 (multiplicity 4)
Li 0.2324 0.5000 0.4009 (multiplicity 4)
Tl 0.0317 0.5000 0.2387 (multiplicity 4)
Tl 0.1150 0.5000 0.0770 (multiplicity 4)
Tl 0.1423 0.5000 0.5468 (multiplicity 4)

=====

Material: Al4Pd3Ru
Method: DFT, GGA-PBE
State: relaxed

Output
energy relative to the elements: -81.9 kJ/mol of atoms

abc: 3.0490 3.0490 12.2869
angles: 90.00 90.00 90.00
Space group P4/mmm (No. 123)
Unique sites:
Al 0.0000 0.0000 0.1149 (multiplicity 2)
Al 0.0000 0.0000 0.3733 (multiplicity 2)
Pd 0.5000 0.5000 0.2467 (multiplicity 2)
Pd 0.5000 0.5000 0.5000 (multiplicity 1)
Ru 0.5000 0.5000 0.0000 (multiplicity 1)

=====

Material: CaLa2Cd3
Method: DFT, GGA-PBE
State: relaxed

Output
distance to the lowest polymorph of the same formula: 16 meV/atom
energy relative to the elements: -33.3 kJ/mol of atoms

abc: 3.8970 3.8970 11.8001
angles: 90.00 90.00 90.00
Space group P4/mmm (No. 123)
Unique sites:
Ca 0.0000 0.0000 0.0000 (multiplicity 1)
La 0.0000 0.0000 0.3324 (multiplicity 2)
Cd 0.5000 0.5000 0.1628 (multiplicity 2)
Cd 0.5000 0.5000 0.5000 (multiplicity 1)

=====

Material: Si3HgAu
Method: DFT, GGA-PBE
State: relaxed

Output
ΔE_f (raw): 0.89 eV per atom
distance to the lowest polymorph of the same formula: 0 meV/atom

abc: 4.9200 4.9200 4.9200
angles: 90.00 90.00 90.00
Space group Pm-3m (No. 221)
Unique sites:
Si 0.0000 0.0000 0.5000 (multiplicity 3)
Hg 0.5000 0.5000 0.5000 (multiplicity 1)
Au 0.0000 0.0000 0.0000 (multiplicity 1)